No. 1
Here is a geometry-optimized MnPtS3 structure from Alexandria via LeMat-Bulk. Energies are from PBE.

The space group is Pm-3m (No. 221) and the conventional cell measures 4.668, 4.668 and 4.668 Å, with angles of 90.00, 90.00 and 90.00 degrees. The asymmetric unit holds Mn at (0.000, 0.000, 0.000), Pt at (0.500, 0.500, 0.500) and S at (0.000, 0.500, 0.500).

The distance to the lowest polymorph of the same formula is 1.506 eV/atom. As for the crystal system: cubic.



No. 2
Here is a geometry-optimized PuTl2I5 structure from Alexandria via LeMat-Bulk. Energies are from PBE.

The space group is Pnma (No. 62) and the conventional cell measures 14.542, 9.705 and 9.145 Å, with angles of 90.00, 90.00 and 90.00 degrees. The asymmetric unit holds Pu at (0.002, 0.250, 0.068), Tl at (0.173, 0.001, 0.557), I at (0.005, 0.250, 0.428), I at (0.081, 0.542, 0.167), I at (0.183, 0.250, 0.874) and I at (0.207, 0.750, 0.839).

The distance to the lowest polymorph of the same formula is 0.000 eV/atom. As for the crystal system: orthorhombic.



No. 3
Here is a geometry-optimized Ba5Na4O structure from Alexandria via LeMat-Bulk. Energies are from PBE.

The space group is I4 (No. 79) and the conventional cell measures 11.725, 11.725 and 6.579 Å, with angles of 90.00, 90.00 and 90.00 degrees. The asymmetric unit holds Ba at (0.000, 0.000, 0.000), Ba at (0.136, 0.809, 0.539), Na at (0.025, 0.645, 0.044) and O at (0.000, 0.000, 0.607).

As for the crystal system: tetragonal.



It is found that the total DFT energy (no corrections) values, taken in the order of the records, are -4.378; -4.214; -2.407 eV per atom.